## NaSrVF6 (PBE with a Hubbard U)

Data for NaSrVF6 after structural relaxation.

a = 5.6100 Å, b = 5.6196 Å, c = 5.1307 Å
α = 90.02°, β = 90.01°, γ = 59.97°
Last column: nearest neighbours and their distance in Å.
Fractional coordinates of all 9 atoms:
V  0.3333  0.3333  0.5002  6 F 1.98-1.99
F  0.0411  0.6249  0.7187  1 V 1.99
F  0.3348  0.0409  0.7192  1 V 1.99
F  0.3327  0.6255  0.2813  1 V 1.99
F  0.0418  0.3323  0.2819  1 V 1.98
F  0.6244  0.3348  0.7187  1 V 1.98
F  0.6252  0.0416  0.2816  1 V 1.99
Na  0.6663  0.6669  0.4990  6 F 2.29
Sr  0.0001  0.9999  0.9993  6 F 2.46-2.47

- Mass density: 3.27 g cm⁻³
- Offset from the most stable computed form: 6 meV per atom
- Symmetry: P1, No. 1
- Total DFT energy (no corrections): -5.65 eV per atom
- Total moment: 2.00 μB/cell